Density functional theory data (PBE-GGA) for a relaxed TiGeW2Br crystal.

The structure in POSCAR format:
```
TiGeW2Br
1.0
4.7807 0.0000 0.0000
0.0000 4.7807 0.0000
0.0000 0.0000 4.8209
Ti Ge W Br
1 1 2 1
Direct
0.0000 0.0000 0.0000
0.0000 0.0000 0.5000
0.0000 0.5000 0.0000
0.5000 0.0000 0.0000
0.5000 0.5000 0.5000
```

- raw formation energy (eV per atom) = 1.7890
- volume (Å³/cell) = 110.2